Entry from OQMD: a geometry-optimized DyEr2Mg3CdGa2 structure (GGA-PBE).

a b c (Å): 4.4457 12.7307 7.3213
angles (deg): 90.00 90.00 90.00
Last column: nearest neighbours and their distance in Å.
Space group Amm2 (No. 38)
Asymmetric unit:
Dy 0.0000 0.0000 0.0000  4 Ga 3.12, 1 Cd 3.18, 2 Mg 3.22
Er 0.0000 0.2160 0.6481  4 Ga 3.11, 1 Cd 3.17, 2 Mg 3.23
Mg 0.5000 0.0000 0.6818  2 Ga 2.81, 2 Cd 2.87
Mg 0.5000 0.1250 0.3076  2 Ga 2.80, 2 Cd 2.89
Cd 0.0000 0.0000 0.4337  6 Mg 2.87-2.89, 2 Er 3.17, 1 Dy 3.18
Ga 0.5000 0.1673 0.9320  3 Mg 2.80-2.81, 4 Er 3.11, 2 Dy 3.12

Output
Raw total energy = -3.243 eV per atom

---

Entry from OQMD: a geometry-optimized DyHo2ErCd2 structure (GGA-PBE).

a b c (Å): 5.3577 3.6427 16.9388
angles (deg): 90.00 90.00 90.00
Last column: nearest neighbours and their distance in Å.
Space group Amm2 (No. 38)
Asymmetric unit:
Dy 0.0000 0.0000 0.0000  6 Cd 3.22-3.26, 2 Ho 3.53
Ho 0.0000 0.0000 0.3140  2 Cd 3.22, 4 Ho 3.35, 2 Er 3.52
Ho 0.5000 0.0000 0.8647  2 Cd 3.24, 4 Ho 3.35, 2 Dy 3.53, 2 Er 3.63
Er 0.5000 0.0000 0.1793  6 Cd 3.21-3.26, 2 Ho 3.52
Cd 0.0000 0.0000 0.6571  2 Ho 3.22, 2 Dy 3.22, 4 Er 3.26, 2 Cd 3.51
Cd 0.5000 0.0000 0.5231  2 Er 3.21, 2 Ho 3.24, 4 Dy 3.26, 2 Cd 3.51

Output
Energy of formation from the pure elements = -224.6 meV per atom

---

Entry from OQMD: a geometry-optimized DyEr2Cd4In2 structure (GGA-PBE).

a b c (Å): 4.5966 12.9353 7.4407
angles (deg): 90.00 90.00 90.00
Last column: nearest neighbours and their distance in Å.
Space group Amm2 (No. 38)
Asymmetric unit:
Dy 0.0000 0.0000 0.0000  3 Cd 3.20-3.35, 4 In 3.20
Er 0.0000 0.2142 0.3579  3 Cd 3.19-3.37, 4 In 3.19
Cd 0.0000 0.0000 0.5699  6 Cd 2.92-2.93, 2 Er 3.19, 1 Dy 3.20
Cd 0.5000 0.0000 0.3284  2 In 2.89, 4 Cd 2.92-3.13
Cd 0.5000 0.1212 0.6929  2 In 2.88, 4 Cd 2.93-3.13
In 0.5000 0.1673 0.0719  3 Cd 2.88-2.89, 4 Er 3.19, 2 Dy 3.20

Output
Raw total energy = -2.911 eV per atom

---

Entry from OQMD: a geometry-optimized Dy2ErMg3CdIn2 structure (GGA-PBE).

a b c (Å): 4.6286 12.9788 7.5304
angles (deg): 90.00 90.00 90.00
Last column: nearest neighbours and their distance in Å.
Space group Amm2 (No. 38)
Asymmetric unit:
Dy 0.0000 0.2137 0.0000  1 Cd 3.22, 4 In 3.22, 2 Mg 3.40
Er 0.0000 0.0000 0.3591  1 Cd 3.20, 4 In 3.21, 2 Mg 3.41
Mg 0.5000 0.0000 0.0261  2 In 2.91, 2 Cd 2.95, 2 Mg 3.13
Mg 0.5000 0.1202 0.6655  2 In 2.92, 2 Cd 2.93, 2 Mg 3.12-3.13
Cd 0.0000 0.0000 0.7838  6 Mg 2.93-2.95, 1 Er 3.20, 2 Dy 3.22
In 0.5000 0.1659 0.2865  3 Mg 2.91-2.92, 2 Er 3.21, 4 Dy 3.22

Output
Raw total energy = -3.113 eV per atom

---

Entry from OQMD: a geometry-optimized Dy2ErCdIr4 structure (GGA-PBE).

a b c (Å): 4.7575 4.7575 6.7605
angles (deg): 90.00 90.00 90.00
Last column: nearest neighbours and their distance in Å.
Space group P4/mmm (No. 123)
Asymmetric unit:
Dy 0.0000 0.0000 0.0000  8 Ir 2.93
Dy 0.5000 0.5000 0.5000  8 Ir 2.91
Er 0.0000 0.0000 0.5000  8 Ir 2.91
Cd 0.5000 0.5000 0.0000  8 Ir 2.93
Ir 0.0000 0.5000 0.2531  4 Dy 2.91-2.93, 2 Er 2.91, 2 Cd 2.93

Output
Energy of formation from the pure elements = -588.6 meV per atom

---

Entry from OQMD: a geometry-optimized Dy2ErCd3Ir2Pt structure (GGA-PBE).

a b c (Å): 3.8830 13.0516 7.5455
angles (deg): 90.00 90.00 90.00
Last column: nearest neighbours and their distance in Å.
Space group Amm2 (No. 38)
Asymmetric unit:
Dy 0.0000 0.2032 0.0000  4 Ir 3.01, 1 Pt 3.07, 6 Cd 3.17-3.32
Er 0.0000 0.0000 0.6088  4 Ir 2.99, 1 Pt 3.05, 6 Cd 3.18-3.31
Cd 0.5000 0.0000 0.9421  2 Pt 2.77, 2 Ir 2.82
Cd 0.5000 0.1307 0.3337  2 Pt 2.76, 2 Ir 2.82-2.84
Ir 0.5000 0.1657 0.7026  3 Cd 2.82-2.84, 2 Er 2.99, 4 Dy 3.01
Pt 0.0000 0.0000 0.2044  6 Cd 2.76-2.77, 1 Er 3.05, 2 Dy 3.07

Output
Energy of formation from the pure elements = -669.5 meV per atom

---

Entry from OQMD: a geometry-optimized K2Dy2ErMg3Cd structure (GGA-PBE).

a b c (Å): 4.8725 14.1232 8.1988
angles (deg): 90.00 90.00 90.00
Last column: nearest neighbours and their distance in Å.
Space group Amm2 (No. 38)
Asymmetric unit:
K 0.0000 0.1664 0.0000  3 Mg 3.30-3.32, 2 Er 3.53, 4 Dy 3.54-3.55
Dy 0.5000 0.1875 0.3117  1 Cd 3.08
Er 0.5000 0.0000 0.8771  1 Cd 3.06
Mg 0.0000 0.0000 0.2862  2 Cd 3.02, 2 Mg 3.06, 2 K 3.32
Mg 0.0000 0.1083 0.6097  2 Cd 3.00, 2 Mg 3.06, 2 K 3.30-3.31
Cd 0.5000 0.0000 0.5038  6 Mg 3.00-3.02, 1 Er 3.06, 2 Dy 3.08

Output
Raw total energy = -1.952 eV per atom

---

Entry from OQMD: a geometry-optimized K2DyEr2Mg3Cd structure (GGA-PBE).

a b c (Å): 4.8573 14.3027 8.1253
angles (deg): 90.00 90.00 90.00
Last column: nearest neighbours and their distance in Å.
Space group Amm2 (No. 38)
Asymmetric unit:
K 0.0000 0.1677 0.0000  3 Mg 3.30-3.33, 4 Er 3.54, 2 Dy 3.56
Dy 0.5000 0.0000 0.1235  1 Cd 3.08
Er 0.5000 0.1862 0.6849  1 Cd 3.05
Mg 0.0000 0.0000 0.7204  2 Cd 3.01, 2 Mg 3.07, 2 K 3.30
Mg 0.0000 0.1075 0.3938  2 Cd 3.01, 2 Mg 3.07-3.08, 2 K 3.31-3.33
Cd 0.5000 0.0000 0.5023  6 Mg 3.01, 2 Er 3.05, 1 Dy 3.08

Output
Raw total energy = -1.940 eV per atom

---

Entry from OQMD: a geometry-optimized DyEr2Mg3Tl2Cd structure (GGA-PBE).

a b c (Å): 4.6032 13.0619 7.5176
angles (deg): 90.00 90.00 90.00
Last column: nearest neighbours and their distance in Å.
Space group Amm2 (No. 38)
Asymmetric unit:
Dy 0.0000 0.0000 0.0000  4 Tl 3.22, 1 Cd 3.23, 2 Mg 3.40
Er 0.0000 0.2135 0.6408  4 Tl 3.21, 1 Cd 3.21, 2 Mg 3.41
Mg 0.5000 0.0000 0.6678  2 Cd 2.92, 2 Tl 2.93, 2 Mg 3.13
Mg 0.5000 0.1199 0.3077  2 Tl 2.92-2.93, 2 Cd 2.93, 2 Mg 3.13
Tl 0.5000 0.1673 0.9271  3 Mg 2.92-2.93, 4 Er 3.21, 2 Dy 3.22
Cd 0.0000 0.0000 0.4293  6 Mg 2.92-2.93, 2 Er 3.21, 1 Dy 3.23

Output
Raw total energy = -2.976 eV per atom

---

Entry from OQMD: a geometry-optimized Dy2ErCdPd4 structure (GGA-PBE).

a b c (Å): 4.8889 4.8889 6.8402
angles (deg): 90.00 90.00 90.00
Last column: nearest neighbours and their distance in Å.
Space group P4/mmm (No. 123)
Asymmetric unit:
Dy 0.0000 0.0000 0.0000  8 Pd 3.00
Dy 0.5000 0.5000 0.5000  8 Pd 2.96
Er 0.0000 0.0000 0.5000  8 Pd 2.96
Cd 0.5000 0.5000 0.0000  8 Pd 3.00
Pd 0.0000 0.5000 0.2551  4 Dy 2.96-3.00, 2 Er 2.96, 2 Cd 3.00

Output
Energy of formation from the pure elements = -825.2 meV per atom

---

Entry from OQMD: a geometry-optimized Dy2ErCdPt4 structure (GGA-PBE).

a b c (Å): 4.8651 4.8651 6.8689
angles (deg): 90.00 90.00 90.00
Last column: nearest neighbours and their distance in Å.
Space group P4/mmm (No. 123)
Asymmetric unit:
Dy 0.0000 0.0000 0.0000  8 Pt 3.00
Dy 0.5000 0.5000 0.5000  8 Pt 2.95
Er 0.0000 0.0000 0.5000  8 Pt 2.95
Cd 0.5000 0.5000 0.0000  8 Pt 3.00
Pt 0.0000 0.5000 0.2564  4 Dy 2.95-3.00, 2 Er 2.95, 2 Cd 3.00

Output
Energy of formation from the pure elements = -1050.2 meV per atom

---

Entry from OQMD: a geometry-optimized DyErCd2Sn2 structure (GGA-PBE).

a b c (Å): 4.3784 4.3784 15.8145
angles (deg): 90.00 90.00 90.00
Last column: nearest neighbours and their distance in Å.
Space group I4mm (No. 107)
Asymmetric unit:
Dy 0.0000 0.0000 0.0000  5 Sn 3.08-3.11, 4 Cd 3.38
Er 0.0000 0.0000 0.3258  5 Sn 3.07-3.11, 4 Cd 3.38
Cd 0.0000 0.5000 0.1632  4 Cd 3.10, 4 Sn 3.14-3.15, 2 Er 3.38, 2 Dy 3.38
Sn 0.0000 0.0000 0.5200  1 Er 3.07, 4 Dy 3.11, 4 Cd 3.15
Sn 0.0000 0.0000 0.8054  1 Dy 3.08, 4 Er 3.11, 4 Cd 3.14

Output
Raw total energy = -3.669 eV per atom

---

Record-wise size of the total moment values, in μB per formula unit: 0.00 0.01 0.00 0.00 0.01 0.00 0.13 0.06 0.00 0.00 0.02 0.00